Density functional theory data (PBE) for crystalline CaHg2GeAs at its relaxed geometry. Values from VASP.

```
&SYSTEM
  ibrav = 0, nat = 5, ntyp = 4
/
ATOMIC_SPECIES
As 74.92 As.upf
Ca 40.08 Ca.upf
Ge 72.64 Ge.upf
Hg 200.59 Hg.upf
ATOMIC_POSITIONS angstrom
As 0.000 0.000 0.000
Ca -4.517 -0.316 -0.590
Ge -1.269 -2.066 -1.066
Hg -1.791 0.107 1.924
Hg -1.458 1.643 -1.448
CELL_PARAMETERS angstrom
-2.915 3.285 -2.895
-2.537 -4.131 -2.132
-3.581 0.213 3.848
```

Properties
Energy of formation from the pure elements (eV/atom): 0.17
Space group: P4/mmm